Record 1
Computed, not measured: Na2LiBeNi after structural relaxation at the PBE-GGA level of DFT.

```
Na2LiBeNi
1.0
-4.067 -1.557 -2.300
2.084 -3.486 -1.325
-1.393 -2.384 4.078
Ni Be Na Li
1 1 2 1
direct
0.000 0.500 0.000
0.500 0.500 0.500
0.000 0.000 0.500
0.500 0.000 0.000
0.000 0.000 0.000
```

Summary:
DOS(E_F) in states/eV per atom: 0.567
Formation energy in eV/atom: 0.965

---

Record 2
Computed, not measured: RbAg4TeSe2 after structural relaxation at the PBE-GGA level of DFT.

```
RbAg4TeSe2
1.0
-0.171 -2.768 3.411
3.133 -2.470 -1.848
7.626 5.840 5.121
Te Se Ag Rb
1 2 4 1
direct
0.000 0.000 0.000
0.500 0.500 0.323
0.500 0.500 0.677
0.000 0.500 0.181
0.500 0.000 0.819
0.500 0.000 0.181
0.000 0.500 0.819
0.000 0.000 0.500
```

Summary:
DOS(E_F) in states/eV per atom: 0.351
Raw formation energy in eV/atom: -0.324

---

Record 3
Computed, not measured: TbHoSnAu after structural relaxation at the PBE-GGA level of DFT.

```
TbHoSnAu
1.0
5.218 0.000 0.000
2.609 4.519 0.000
2.609 1.506 4.260
Tb Ho Sn Au
1 1 1 1
direct
0.500 0.500 0.500
0.000 0.000 0.000
0.750 0.750 0.750
0.250 0.250 0.250
```

Summary:
DOS(E_F) in states/eV per atom: 0.948
Formation energy in eV/atom: -0.714

---

Record 4
Computed, not measured: CuSiS3 after structural relaxation at the PBE-GGA level of DFT.

```
CuSiS3
1.0
-1.209 -0.985 -5.640
6.597 -2.054 -1.055
-7.984 -6.050 2.767
Si S Cu
4 12 4
direct
0.249 0.017 0.921
0.751 0.983 0.079
0.251 0.517 0.421
0.749 0.483 0.579
0.047 0.765 0.665
0.953 0.235 0.335
0.453 0.265 0.165
0.903 0.209 0.997
0.105 0.710 0.332
0.605 0.790 0.168
0.895 0.290 0.668
0.395 0.210 0.832
0.403 0.291 0.503
0.547 0.735 0.835
0.597 0.709 0.497
0.097 0.791 0.003
0.750 0.562 0.242
0.250 0.938 0.258
0.250 0.438 0.758
0.750 0.062 0.742
```

Summary:
DOS(E_F) in states/eV per atom: 0.600
Raw formation energy in eV/atom: -0.210

---

Record 5
Computed, not measured: TlSi6S12 after structural relaxation at the PBE-GGA level of DFT.

```
TlSi6S12
1.0
9.123 1.081 -1.479
-1.894 8.989 -1.479
0.776 1.081 9.209
S Si Tl
12 6 1
direct
0.500 0.886 0.114
0.114 0.500 0.886
0.005 0.263 0.263
0.737 0.737 0.995
0.263 0.005 0.263
0.995 0.737 0.737
0.737 0.995 0.737
0.886 0.114 0.500
0.500 0.114 0.886
0.886 0.500 0.114
0.263 0.263 0.005
0.114 0.886 0.500
0.925 0.925 0.623
0.075 0.075 0.377
0.623 0.925 0.925
0.075 0.377 0.075
0.925 0.623 0.925
0.377 0.075 0.075
0.000 0.000 0.000
```

Summary:
DOS(E_F) in states/eV per atom: 0.306
Raw formation energy in eV/atom: -0.063

---

Record 6
Computed, not measured: La2Pm3Tm5 after structural relaxation at the PBE-GGA level of DFT.

```
La2Pm3Tm5
1.0
-4.992 1.469 -7.770
1.508 -6.780 -6.253
-4.407 -1.612 10.155
Tm Pm La
10 6 4
direct
0.353 0.111 0.731
0.524 0.274 0.549
0.027 0.777 0.554
0.973 0.223 0.446
0.647 0.889 0.269
0.121 0.380 0.269
0.879 0.620 0.731
0.270 0.520 0.040
0.476 0.726 0.451
0.730 0.480 0.960
0.968 0.229 0.744
0.032 0.771 0.256
0.724 0.485 0.256
0.771 0.021 0.042
0.229 0.979 0.958
0.276 0.515 0.744
0.480 0.720 0.748
0.520 0.280 0.252
0.768 0.028 0.748
0.232 0.972 0.252
```

Summary:
DOS(E_F) in states/eV per atom: 1.471
Formation energy in eV/atom: 0.179

---

Record 7
Computed, not measured: Pm2MgZn4Au3 after structural relaxation at the PBE-GGA level of DFT.

```
Pm2MgZn4Au3
1.0
4.128 0.000 0.000
0.000 4.128 0.000
0.000 0.000 12.055
Au Pm Zn Mg
3 2 4 1
direct
0.000 0.500 0.141
0.500 0.000 0.859
0.000 0.000 0.500
0.500 0.000 0.244
0.000 0.500 0.756
0.000 0.000 0.000
0.000 0.500 0.355
0.500 0.000 0.645
0.500 0.500 0.000
0.500 0.500 0.500
```

Summary:
DOS(E_F) in states/eV per atom: 0.529
Formation energy in eV/atom: -0.505

---

Record 8
Computed, not measured: Sc2FeAu after structural relaxation at the PBE-GGA level of DFT.

```
Sc2FeAu
1.0
-4.443 -2.815 -0.583
-3.274 -3.372 2.434
-3.368 2.674 1.799
Fe Sc Au
1 2 1
direct
0.244 0.244 0.206
0.762 0.762 0.698
0.984 0.984 0.061
0.510 0.510 0.534
```

Summary:
DOS(E_F) in states/eV per atom: 0.989
Formation energy in eV/atom: -0.277

---

Computed raw total energy (eV per formula unit) in order:
-9.23 -25.07 -19.34 -22.95 -85.63 -44.67 -31.08 -25.51